DFT (GGA+U) results for an optimized crystal structure of YCoPO.

Geometry as extended XYZ:
```
8
Lattice="4.296 0.000 0.000 0.000 4.000 0.000 0.000 0.000 6.772" Properties=species:S:1:pos:R:3 pbc="T T T"
Y 0.000 0.902 0.000
Y 0.000 3.098 3.386
Co 2.148 1.029 2.218
Co 2.148 2.970 5.604
P 2.148 0.940 4.523
P 2.148 3.060 1.137
O 0.000 1.113 2.280
O 0.000 2.887 5.665
```

Calculated values
For the spin magnetization, the calculation gives 0.44 μB/atom. The symmetry is Pmc2_1, No. 26. The volume is 14.54 Å³ per atom. Its uncorrected energy is -6.872 eV per atom.

=====

DFT (GGA+U) results for an optimized crystal structure of YCoPO.

Geometry as extended XYZ:
```
8
Lattice="4.422 0.000 0.000 0.000 4.422 0.000 0.000 0.000 8.401" Properties=species:S:1:pos:R:3 pbc="T T T"
Y 1.105 3.316 0.000
Y 3.316 1.105 0.000
Co 1.105 1.105 3.988
Co 3.316 3.316 4.414
P 1.105 1.105 1.518
P 3.316 3.316 6.884
O 1.105 3.316 4.201
O 3.316 1.105 4.201
```

Calculated values
For the spin magnetization, the calculation gives 0.79 μB/atom. The symmetry is P4/nmm, No. 129. The volume is 20.53 Å³ per atom. Its uncorrected energy is -5.882 eV per atom.